w:
Compound: Ti2Zn2Ag
Source: Alexandria via LeMat-Bulk
Functional: PBE
Structure: relaxed Values from VASP.

Properties
**V**: 163 Å³/cell
**Space group**: P4/mbm, No. 127

```
&SYSTEM
  ibrav = 0, nat = 10, ntyp = 3
/
ATOMIC_SPECIES
Ti 47.87 Ti.upf
Zn 65.41 Zn.upf
Ag 107.87 Ag.upf
ATOMIC_POSITIONS angstrom
Ti 1.118 2.293 0.000
Ti 2.293 5.705 0.000
Ti 4.529 1.118 0.000
Ti 5.705 4.529 0.000
Zn 0.905 4.316 1.754
Zn 2.506 0.905 1.754
Zn 4.316 5.917 1.754
Zn 5.917 2.506 1.754
Ag 0.000 0.000 1.754
Ag 3.411 3.411 1.754
CELL_PARAMETERS angstrom
6.822 0.000 0.000
0.000 6.822 0.000
0.000 0.000 3.508
```

***

x:
Compound: Ti2Zn2Ag
Source: Alexandria via LeMat-Bulk
Functional: PBE
Structure: relaxed Values from VASP.

Properties
**V**: 171 Å³/cell
**Space group**: P4/mbm, No. 127

```
&SYSTEM
  ibrav = 0, nat = 10, ntyp = 3
/
ATOMIC_SPECIES
Ti 47.87 Ti.upf
Zn 65.41 Zn.upf
Ag 107.87 Ag.upf
ATOMIC_POSITIONS angstrom
Ti 0.968 3.011 0.000
Ti 3.011 6.991 0.000
Ti 4.948 0.968 0.000
Ti 6.991 4.948 0.000
Zn 1.380 5.360 1.346
Zn 2.599 1.380 1.346
Zn 5.360 6.579 1.346
Zn 6.579 2.599 1.346
Ag 0.000 0.000 0.000
Ag 3.980 3.980 0.000
CELL_PARAMETERS angstrom
7.959 0.000 0.000
0.000 7.959 0.000
0.000 0.000 2.692
```

***

Quick one: least stable of them? x

***

w:
Compound: ZrTiAg2
Source: Alexandria via LeMat-Bulk
Functional: PBE
Structure: relaxed Values from VASP.

Properties
**V**: 159 Å³/cell
**Space group**: I-42d, No. 122

```
&SYSTEM
  ibrav = 0, nat = 8, ntyp = 3
/
ATOMIC_SPECIES
Zr 91.22 Zr.upf
Ti 47.87 Ti.upf
Ag 107.87 Ag.upf
ATOMIC_POSITIONS angstrom
Zr 0.000 0.000 0.000
Zr 0.000 3.839 1.353
Ti 3.839 0.000 1.353
Ti 0.000 0.000 2.705
Ag 1.919 -1.748 2.029
Ag 2.091 1.919 0.676
Ag 1.919 5.587 -0.676
Ag 1.748 1.919 3.382
CELL_PARAMETERS angstrom
-3.839 3.839 2.705
3.839 -3.839 2.705
3.839 3.839 -2.705
```

***

x:
Compound: ZrTiAg2
Source: Alexandria via LeMat-Bulk
Functional: PBE
Structure: relaxed Values from VASP.

Properties
**V**: 77 Å³/cell
**Space group**: Fm-3m, No. 225

```
&SYSTEM
  ibrav = 0, nat = 4, ntyp = 3
/
ATOMIC_SPECIES
Zr 91.22 Zr.upf
Ti 47.87 Ti.upf
Ag 107.87 Ag.upf
ATOMIC_POSITIONS angstrom
Zr 0.000 0.000 0.000
Ti 3.377 3.377 3.377
Ag 1.689 1.689 1.689
Ag 5.066 5.066 5.066
CELL_PARAMETERS angstrom
0.000 3.377 3.377
3.377 0.000 3.377
3.377 3.377 0.000
```

***

y:
Compound: ZrTiAg2
Source: Alexandria via LeMat-Bulk
Functional: PBE
Structure: relaxed Values from VASP.

Properties
**V**: 74 Å³/cell
**Space group**: P4/mmm, No. 123

```
&SYSTEM
  ibrav = 0, nat = 4, ntyp = 3
/
ATOMIC_SPECIES
Zr 91.22 Zr.upf
Ti 47.87 Ti.upf
Ag 107.87 Ag.upf
ATOMIC_POSITIONS angstrom
Zr 0.000 0.000 0.000
Ti 2.050 2.050 0.000
Ag 0.000 2.050 2.208
Ag 2.050 0.000 2.208
CELL_PARAMETERS angstrom
4.100 0.000 0.000
0.000 4.100 0.000
0.000 0.000 4.416
```

***

z:
Compound: ZrTiAg2
Source: Alexandria via LeMat-Bulk
Functional: PBE
Structure: relaxed Values from VASP.

Properties
**V**: 153 Å³/cell
**Space group**: Pmma, No. 51

```
&SYSTEM
  ibrav = 0, nat = 8, ntyp = 3
/
ATOMIC_SPECIES
Zr 91.22 Zr.upf
Ti 47.87 Ti.upf
Ag 107.87 Ag.upf
ATOMIC_POSITIONS angstrom
Zr 1.076 0.000 1.071
Zr 3.227 0.000 7.285
Ti 1.076 2.131 7.381
Ti 3.227 2.131 0.975
Ag 1.076 0.000 5.190
Ag 1.076 2.131 3.181
Ag 3.227 0.000 3.167
Ag 3.227 2.131 5.175
CELL_PARAMETERS angstrom
4.303 0.000 0.000
0.000 4.262 0.000
0.000 0.000 8.356
```

***

Quick one: least stable of them? w

***

w:
Compound: ZrTiAg
Source: Alexandria via LeMat-Bulk
Functional: PBE
Structure: relaxed Values from VASP.

Properties
**V**: 59 Å³/cell
**Space group**: P-6m2, No. 187

```
&SYSTEM
  ibrav = 0, nat = 3, ntyp = 3
/
ATOMIC_SPECIES
Zr 91.22 Zr.upf
Ti 47.87 Ti.upf
Ag 107.87 Ag.upf
ATOMIC_POSITIONS angstrom
Zr 0.000 0.000 0.000
Ti 0.000 2.837 1.411
Ag 2.457 1.419 1.411
CELL_PARAMETERS angstrom
4.915 0.000 0.000
-2.457 4.256 0.000
0.000 0.000 2.822
```

***

x:
Compound: ZrTiAg
Source: Alexandria via LeMat-Bulk
Functional: PBE
Structure: relaxed Values from VASP.

Properties
**V**: 116 Å³/cell
**Space group**: P4/nmm, No. 129

```
&SYSTEM
  ibrav = 0, nat = 6, ntyp = 3
/
ATOMIC_SPECIES
Zr 91.22 Zr.upf
Ti 47.87 Ti.upf
Ag 107.87 Ag.upf
ATOMIC_POSITIONS angstrom
Zr 0.755 0.755 3.100
Zr 2.266 2.266 9.611
Ti 0.755 0.755 11.746
Ti 2.266 2.266 0.964
Ag 0.755 0.755 7.365
Ag 2.266 2.266 5.346
CELL_PARAMETERS angstrom
3.022 0.000 0.000
0.000 3.022 0.000
0.000 0.000 12.711
```

***

Quick one: least stable of them? w

***

w:
Compound: Zr2TiAg
Source: Alexandria via LeMat-Bulk
Functional: PBE
Structure: relaxed Values from VASP.

Properties
**V**: 82 Å³/cell
**Space group**: R3m, No. 160

```
&SYSTEM
  ibrav = 0, nat = 4, ntyp = 3
/
ATOMIC_SPECIES
Zr 91.22 Zr.upf
Ti 47.87 Ti.upf
Ag 107.87 Ag.upf
ATOMIC_POSITIONS angstrom
Zr 0.000 0.000 0.000
Zr 0.000 0.000 4.793
Ti 0.000 0.000 22.203
Ag 0.000 0.000 17.240
CELL_PARAMETERS angstrom
1.546 0.893 9.898
-1.546 0.893 9.898
0.000 -1.785 9.898
```

***

x:
Compound: Zr2TiAg
Source: Alexandria via LeMat-Bulk
Functional: PBE
Structure: relaxed Values from VASP.

Properties
**V**: 83 Å³/cell
**Space group**: R-3m, No. 166

```
&SYSTEM
  ibrav = 0, nat = 4, ntyp = 3
/
ATOMIC_SPECIES
Zr 91.22 Zr.upf
Ti 47.87 Ti.upf
Ag 107.87 Ag.upf
ATOMIC_POSITIONS angstrom
Zr 0.000 0.000 2.836
Zr 0.000 0.000 29.756
Ti 0.000 0.000 0.000
Ag 0.000 0.000 16.296
CELL_PARAMETERS angstrom
1.484 0.857 10.864
-1.484 0.857 10.864
0.000 -1.713 10.864
```

***

Quick one: least stable of them? x

***

w:
Compound: Zr2TiAg
Source: Alexandria via LeMat-Bulk
Functional: PBE
Structure: relaxed Values from VASP.

Properties
**V**: 81 Å³/cell
**Space group**: P4/mmm, No. 123

```
&SYSTEM
  ibrav = 0, nat = 4, ntyp = 3
/
ATOMIC_SPECIES
Zr 91.22 Zr.upf
Ti 47.87 Ti.upf
Ag 107.87 Ag.upf
ATOMIC_POSITIONS angstrom
Zr 0.000 0.000 2.033
Zr 0.000 0.000 6.324
Ti 1.557 1.557 0.000
Ag 1.557 1.557 4.178
CELL_PARAMETERS angstrom
3.113 0.000 0.000
0.000 3.113 0.000
0.000 0.000 8.357
```

***

x:
Compound: Zr2TiAg
Source: Alexandria via LeMat-Bulk
Functional: PBE
Structure: relaxed Values from VASP.

Properties
**V**: 81 Å³/cell
**Space group**: Fm-3m, No. 225

```
&SYSTEM
  ibrav = 0, nat = 4, ntyp = 3
/
ATOMIC_SPECIES
Zr 91.22 Zr.upf
Ti 47.87 Ti.upf
Ag 107.87 Ag.upf
ATOMIC_POSITIONS angstrom
Zr 1.718 1.718 1.718
Zr 5.153 5.153 5.153
Ti 0.000 0.000 0.000
Ag 3.436 3.436 3.436
CELL_PARAMETERS angstrom
0.000 3.436 3.436
3.436 0.000 3.436
3.436 3.436 0.000
```

***

y:
Compound: Zr2TiAg
Source: Alexandria via LeMat-Bulk
Functional: PBE
Structure: relaxed Values from VASP.

Properties
**V**: 80 Å³/cell
**Space group**: P4/mmm, No. 123

```
&SYSTEM
  ibrav = 0, nat = 4, ntyp = 3
/
ATOMIC_SPECIES
Zr 91.22 Zr.upf
Ti 47.87 Ti.upf
Ag 107.87 Ag.upf
ATOMIC_POSITIONS angstrom
Zr 0.000 2.179 0.000
Zr 2.179 0.000 0.000
Ti 0.000 0.000 2.116
Ag 2.179 2.179 2.116
CELL_PARAMETERS angstrom
4.357 0.000 0.000
0.000 4.357 0.000
0.000 0.000 4.233
```

***

z:
Compound: Zr2TiAg
Source: Alexandria via LeMat-Bulk
Functional: PBE
Structure: relaxed Values from VASP.

Properties
**V**: 171 Å³/cell
**Space group**: I-42d, No. 122

```
&SYSTEM
  ibrav = 0, nat = 8, ntyp = 3
/
ATOMIC_SPECIES
Zr 91.22 Zr.upf
Ti 47.87 Ti.upf
Ag 107.87 Ag.upf
ATOMIC_POSITIONS angstrom
Zr 3.065 1.016 -2.555
Zr 1.016 1.022 2.555
Zr -1.022 1.027 7.664
Zr 1.027 1.022 12.773
Ti 0.000 0.000 0.000
Ti 0.000 2.043 5.109
Ag 2.043 0.000 5.109
Ag 0.000 0.000 10.219
CELL_PARAMETERS angstrom
-2.043 2.043 10.219
2.043 -2.043 10.219
2.043 2.043 -10.219
```

***

Quick one: least stable of them? z

***

w:
Compound: TlAg2
Source: Alexandria via LeMat-Bulk
Functional: PBE
Structure: relaxed Values from VASP.

Properties
**V**: 252 Å³/cell
**Space group**: Pnma, No. 62

```
&SYSTEM
  ibrav = 0, nat = 12, ntyp = 2
/
ATOMIC_SPECIES
Tl 204.38 Tl.upf
Ag 107.87 Ag.upf
ATOMIC_POSITIONS angstrom
Tl 0.811 1.130 0.905
Tl 2.198 3.391 5.534
Tl 3.821 1.130 3.725
Tl 5.208 3.391 8.355
Ag 0.718 1.130 6.952
Ag 0.755 1.130 3.960
Ag 2.255 3.391 8.589
Ag 2.292 3.391 2.322
Ag 3.727 1.130 6.937
Ag 3.764 1.130 0.670
Ag 5.264 3.391 5.299
Ag 5.301 3.391 2.308
CELL_PARAMETERS angstrom
6.019 0.000 0.000
0.000 4.521 0.000
0.000 0.000 9.259
```

***

x:
Compound: TlAg2
Source: Alexandria via LeMat-Bulk
Functional: PBE
Structure: relaxed Values from VASP.

Properties
**V**: 63 Å³/cell
**Space group**: I4/mmm, No. 139

```
&SYSTEM
  ibrav = 0, nat = 3, ntyp = 2
/
ATOMIC_SPECIES
Tl 204.38 Tl.upf
Ag 107.87 Ag.upf
ATOMIC_POSITIONS angstrom
Tl 0.000 0.000 0.000
Ag 0.000 0.000 3.070
Ag 0.000 0.000 6.450
CELL_PARAMETERS angstrom
-1.826 1.826 4.760
1.826 -1.826 4.760
1.826 1.826 -4.760
```

***

y:
Compound: TlAg2
Source: Alexandria via LeMat-Bulk
Functional: PBE
Structure: relaxed Values from VASP.

Properties
**V**: 128 Å³/cell
**Space group**: P6_3/mmc, No. 194

```
&SYSTEM
  ibrav = 0, nat = 6, ntyp = 2
/
ATOMIC_SPECIES
Tl 204.38 Tl.upf
Ag 107.87 Ag.upf
ATOMIC_POSITIONS angstrom
Tl 0.000 2.867 1.493
Tl 2.483 1.434 4.480
Ag 0.000 0.000 0.000
Ag 0.000 0.000 2.987
Ag 0.000 2.867 4.480
Ag 2.483 1.434 1.493
CELL_PARAMETERS angstrom
4.966 0.000 0.000
-2.483 4.301 0.000
0.000 0.000 5.974
```

***

z:
Compound: TlAg2
Source: Alexandria via LeMat-Bulk
Functional: PBE
Structure: relaxed Values from VASP.

Properties
**V**: 128 Å³/cell
**Space group**: C2/m, No. 12

```
&SYSTEM
  ibrav = 0, nat = 6, ntyp = 2
/
ATOMIC_SPECIES
Tl 204.38 Tl.upf
Ag 107.87 Ag.upf
ATOMIC_POSITIONS angstrom
Tl 1.496 0.000 0.939
Tl 7.134 0.000 6.154
Ag 0.223 0.000 3.688
Ag 4.482 0.000 1.719
Ag 4.148 0.000 5.374
Ag 8.407 0.000 3.405
CELL_PARAMETERS angstrom
5.679 -1.590 0.000
5.679 1.590 0.000
-2.727 0.000 7.093
```

***

Quick one: least stable of them? y

***

w:
Compound: TlAg2
Source: Alexandria via LeMat-Bulk
Functional: PBE
Structure: relaxed Values from VASP.

Properties
**V**: 65 Å³/cell
**Space group**: P6/mmm, No. 191

```
&SYSTEM
  ibrav = 0, nat = 3, ntyp = 2
/
ATOMIC_SPECIES
Tl 204.38 Tl.upf
Ag 107.87 Ag.upf
ATOMIC_POSITIONS angstrom
Tl 0.000 0.000 0.000
Ag 0.000 2.838 1.550
Ag 2.458 1.419 1.550
CELL_PARAMETERS angstrom
4.916 0.000 0.000
-2.458 4.257 0.000
0.000 0.000 3.100
```

***

x:
Compound: TlAg2
Source: Alexandria via LeMat-Bulk
Functional: PBE
Structure: relaxed Values from VASP.

Properties
**V**: 525 Å³/cell
**Space group**: P6_3/mmc, No. 194

```
&SYSTEM
  ibrav = 0, nat = 24, ntyp = 2
/
ATOMIC_SPECIES
Tl 204.38 Tl.upf
Ag 107.87 Ag.upf
ATOMIC_POSITIONS angstrom
Tl 0.000 0.000 1.721
Tl 0.000 0.000 7.601
Tl 0.000 0.000 11.044
Tl 0.000 0.000 16.923
Tl 0.000 3.291 2.942
Tl 0.000 3.291 6.381
Tl 2.850 1.646 12.264
Tl 2.850 1.646 15.703
Ag -1.425 2.469 0.000
Ag -1.425 2.469 9.322
Ag 0.000 1.627 13.983
Ag -1.441 4.123 13.983
Ag 1.409 0.814 4.661
Ag 0.000 3.291 11.648
Ag 0.000 3.291 16.319
Ag 2.850 0.000 0.000
Ag 2.850 0.000 9.322
Ag 1.425 2.469 0.000
Ag 1.425 2.469 9.322
Ag 2.850 1.646 2.326
Ag 2.850 1.646 6.997
Ag 1.441 4.123 13.983
Ag 4.292 0.814 4.661
Ag 2.850 3.310 4.661
CELL_PARAMETERS angstrom
5.701 0.000 0.000
-2.850 4.937 0.000
0.000 0.000 18.645
```

***

y:
Compound: TlAg2
Source: Alexandria via LeMat-Bulk
Functional: PBE
Structure: relaxed Values from VASP.

Properties
**V**: 131 Å³/cell
**Space group**: Cm, No. 8

```
&SYSTEM
  ibrav = 0, nat = 6, ntyp = 2
/
ATOMIC_SPECIES
Tl 204.38 Tl.upf
Ag 107.87 Ag.upf
ATOMIC_POSITIONS angstrom
Tl 0.000 0.000 0.000
Tl 2.404 0.000 5.025
Ag 2.961 0.000 0.710
Ag 5.355 0.000 4.883
Ag 6.793 0.000 2.425
Ag 9.782 0.000 2.774
CELL_PARAMETERS angstrom
5.549 -1.593 0.000
5.549 1.593 0.000
-0.532 0.000 7.430
```

***

Quick one: least stable of them? w

***

w:
Compound: TlAg2
Source: Alexandria via LeMat-Bulk
Functional: PBE
Structure: relaxed Values from VASP.

Properties
**V**: 130 Å³/cell
**Space group**: Fd-3m, No. 227

```
&SYSTEM
  ibrav = 0, nat = 6, ntyp = 2
/
ATOMIC_SPECIES
Tl 204.38 Tl.upf
Ag 107.87 Ag.upf
ATOMIC_POSITIONS angstrom
Tl 1.005 1.005 1.005
Tl 7.038 7.038 7.038
Ag 4.022 2.011 2.011
Ag 2.011 4.022 2.011
Ag 2.011 2.011 4.022
Ag 4.022 4.022 4.022
CELL_PARAMETERS angstrom
0.000 4.022 4.022
4.022 0.000 4.022
4.022 4.022 0.000
```

***

x:
Compound: TlAg2
Source: Alexandria via LeMat-Bulk
Functional: PBE
Structure: relaxed Values from VASP.

Properties
**V**: 125 Å³/cell
**Space group**: Cmcm, No. 63

```
&SYSTEM
  ibrav = 0, nat = 6, ntyp = 2
/
ATOMIC_SPECIES
Tl 204.38 Tl.upf
Ag 107.87 Ag.upf
ATOMIC_POSITIONS angstrom
Tl 1.616 6.210 3.652
Tl 1.616 -6.210 1.217
Ag 1.616 4.448 1.217
Ag 1.616 0.928 3.652
Ag 1.616 -0.928 1.217
Ag 1.616 -4.448 3.652
CELL_PARAMETERS angstrom
1.616 -7.970 0.000
1.616 7.970 0.000
0.000 0.000 4.869
```

***

Quick one: least stable of them? x

***

w:
Compound: TlAg2
Source: Alexandria via LeMat-Bulk
Functional: PBE
Structure: relaxed Values from VASP.

Properties
**V**: 144 Å³/cell
**Space group**: I4_1/amd, No. 141

```
&SYSTEM
  ibrav = 0, nat = 6, ntyp = 2
/
ATOMIC_SPECIES
Tl 204.38 Tl.upf
Ag 107.87 Ag.upf
ATOMIC_POSITIONS angstrom
Tl 1.931 0.966 2.412
Tl 0.000 0.966 7.235
Ag 1.931 -0.966 5.809
Ag 1.931 -0.966 8.662
Ag 0.000 2.897 0.985
Ag 0.000 2.897 3.838
CELL_PARAMETERS angstrom
-1.931 1.931 9.647
1.931 -1.931 9.647
1.931 1.931 -9.647
```

***

x:
Compound: TlAg2
Source: Alexandria via LeMat-Bulk
Functional: PBE
Structure: relaxed Values from VASP.

Properties
**V**: 127 Å³/cell
**Space group**: Pnnm, No. 58

```
&SYSTEM
  ibrav = 0, nat = 6, ntyp = 2
/
ATOMIC_SPECIES
Tl 204.38 Tl.upf
Ag 107.87 Ag.upf
ATOMIC_POSITIONS angstrom
Tl 0.000 0.000 0.000
Tl 1.555 4.633 2.197
Ag 0.009 3.010 0.000
Ag 1.546 7.643 2.197
Ag 1.564 1.623 2.197
Ag 3.102 6.256 0.000
CELL_PARAMETERS angstrom
3.111 0.000 0.000
0.000 9.266 0.000
0.000 0.000 4.394
```

***

Quick one: least stable of them? w